[1]
First-principles (PBE) data for an optimized crystal structure of Tm2CoPt9, as listed in Alexandria via LeMat-Bulk.

Cell: 4.032 4.032 12.068 Å, 90.00 90.00 90.00°
Space group P4/mmm (No. 123)
Inequivalent atoms, fractional coordinates:
1 Tm 0.000 0.000 0.171 x2
2 Co 0.000 0.000 0.500 x1
3 Pt 0.000 0.500 0.000 x2
4 Pt 0.000 0.500 0.346 x4
5 Pt 0.500 0.500 0.173 x2
6 Pt 0.500 0.500 0.500 x1

Uncorrected energy ... -79.1 eV for the cell shown
Magnetization ... 0.31 μB per atom
Density of states at the Fermi level ... 1.051 states/eV per atom
ΔE_f ... -0.720 eV/atom

***

[2]
First-principles (PBE) data for an optimized crystal structure of Tm8Co2Pt, as listed in Alexandria via LeMat-Bulk.

Cell: 16.896 4.860 6.618 Å, 90.00 107.12 90.00°
Space group C2/m (No. 12)
Inequivalent atoms, fractional coordinates:
1 Tm 0.036 0.000 0.287 x4
2 Tm 0.096 0.500 0.958 x4
3 Tm 0.173 0.500 0.475 x4
4 Tm 0.203 0.000 0.823 x4
5 Co 0.187 0.000 0.207 x4
6 Pt 0.000 0.500 0.500 x2

Uncorrected energy ... -119.7 eV for the cell shown
Magnetization ... 0.00 μB per atom
Density of states at the Fermi level ... 1.043 states/eV per atom
ΔE_f ... -0.347 eV/atom

***

[3]
First-principles (PBE) data for an optimized crystal structure of Tm6Co2Pt, as listed in Alexandria via LeMat-Bulk.

Cell: 9.118 9.250 9.554 Å, 90.00 90.00 90.00°
Space group Immm (No. 71)
Inequivalent atoms, fractional coordinates:
1 Tm 0.000 0.187 0.174 x8
2 Tm 0.180 0.229 0.500 x8
3 Tm 0.190 0.500 0.252 x8
4 Co 0.000 0.000 0.384 x4
5 Co 0.161 0.000 0.000 x4
6 Pt 0.000 0.500 0.000 x2
7 Pt 0.000 0.500 0.500 x2

Uncorrected energy ... -205.1 eV for the cell shown
Magnetization ... 0.00 μB per atom
Density of states at the Fermi level ... 1.018 states/eV per atom
ΔE_f ... -0.465 eV/atom